PBE-GGA InCu2Pt, relaxed; N(E_F) = 1.4 states/eV per cell; energy relative to the elements = -56 meV per atom; SG = P2/m (10); uncorrected energy = -4.299 eV/atom
1.0
4.5653 0.0000 0.0000
0.0000 2.8542 -0.1487
0.0000 0.5520 4.7866
Pt Cu In
1 2 1
direct
0.5000 0.7500 0.7500 Pt
0.0000 0.5052 0.5151 Cu
0.0000 0.9948 0.9849 Cu
0.5000 0.2500 0.2500 In